Entry from the Alexandria database: crystalline Mg2Cr2H at its relaxed geometry (PBE-GGA).

For the offset from the most stable computed form, the calculation gives 397 meV/atom. For the total energy, the calculation gives -42.0 eV/cell.

Cell lengths 7.540, 7.540, 3.125 Å; angles 90.00, 90.00, 90.00 degrees
Space group P4/mbm (No. 127)
Symmetry-distinct sites (fractional):
1 Mg 0.205 0.295 0.000 [4 per cell]
2 Cr 0.084 0.584 0.500 [4 per cell]
3 H 0.000 0.000 0.000 [2 per cell]



Entry from the Alexandria database: crystalline Mg2Cr2H at its relaxed geometry (PBE-GGA).

For the offset from the most stable computed form, the calculation gives 52 meV/atom. For the total energy, the calculation gives -45.5 eV/cell.

Cell lengths 3.168, 3.168, 15.205 Å; angles 90.00, 90.00, 90.00 degrees
Space group I4/mmm (No. 139)
Symmetry-distinct sites (fractional):
1 Mg 0.000 0.000 0.095 [4 per cell]
2 Cr 0.000 0.500 0.250 [4 per cell]
3 H 0.000 0.000 0.500 [2 per cell]



Entry from the Alexandria database: crystalline MgCrH4 at its relaxed geometry (PBE-GGA).

For the offset from the most stable computed form, the calculation gives 36 meV/atom. For the total energy, the calculation gives -98.8 eV/cell.

Cell lengths 5.383, 8.498, 4.640 Å; angles 90.00, 116.18, 90.00 degrees
Space group C2/c (No. 15)
Symmetry-distinct sites (fractional):
1 Mg 0.000 0.144 0.250 [4 per cell]
2 Cr 0.000 0.475 0.250 [4 per cell]
3 H 0.070 0.351 0.569 [8 per cell]
4 H 0.199 0.088 0.720 [8 per cell]



Entry from the Alexandria database: crystalline MgCr2H6 at its relaxed geometry (PBE-GGA).

For the total energy, the calculation gives -41.0 eV/cell.

Cell lengths 3.0507, 3.0507, 7.1265 Å; angles 90.00, 90.00, 120.00 degrees
Space group P-3m1 (No. 164)
Symmetry-distinct sites (fractional):
1 Mg 0.0000 0.0000 0.0000 [1 per cell]
2 Cr 0.3333 0.6667 0.6558 [2 per cell]
3 H 0.0000 0.0000 0.2872 [2 per cell]
4 H 0.3333 0.6667 0.4066 [2 per cell]
5 H 0.3333 0.6667 0.8922 [2 per cell]



Entry from the Alexandria database: crystalline MgCrH2 at its relaxed geometry (PBE-GGA).

For the total energy, the calculation gives -69.0 eV/cell.

Cell lengths 4.675, 4.675, 6.482 Å; angles 90.00, 90.00, 90.00 degrees
Space group I-42d (No. 122)
Symmetry-distinct sites (fractional):
1 Mg 0.000 0.000 0.000 [4 per cell]
2 Cr 0.000 0.000 0.500 [4 per cell]
3 H 0.197 0.750 0.625 [8 per cell]



Entry from the Alexandria database: crystalline MgCrH4 at its relaxed geometry (PBE-GGA).

For the offset from the most stable computed form, the calculation gives 0 meV/atom. For the total energy, the calculation gives -199.3 eV/cell.

Cell lengths 6.241, 6.250, 8.573 Å; angles 90.00, 90.00, 90.00 degrees
Space group Fddd (No. 70, origin choice 2)
Symmetry-distinct sites (fractional):
1 Mg 0.125 0.125 0.125 [8 per cell]
2 Cr 0.125 0.125 0.625 [8 per cell]
3 H 0.108 0.358 0.750 [32 per cell]